# 1
Computed, not measured: crystalline Ba3MgCd2Ag6 at its relaxed geometry at the PBE-GGA level of DFT.

a = 6.7049 Å, b = 6.7049 Å, c = 9.1516 Å
α = 90.00°, β = 90.00°, γ = 120.00°
Element x y z (fractional)
Ag: 0.1871 0.3741 0.2959
Ag: 0.8129 0.6259 0.7041
Ag: 0.8129 0.1871 0.7041
Ag: 0.3741 0.1871 0.7041
Ag: 0.1871 0.8129 0.2959
Ag: 0.6259 0.8129 0.2959
Ba: 0.0000 0.0000 0.0000
Ba: 0.3333 0.6667 0.6346
Ba: 0.6667 0.3333 0.3654
Cd: 0.3333 0.6667 0.0338
Cd: 0.6667 0.3333 0.9662
Mg: 0.0000 0.0000 0.5000

Calculated values
Formation energy = -0.136 eV per atom
Symmetry = P-3m1 (164)
E_tot = -2.33 eV/atom



# 2
Computed, not measured: crystalline Mn2CdCl at its relaxed geometry at the PBE-GGA level of DFT.

a = 5.9222 Å, b = 5.9222 Å, c = 5.9222 Å
α = 141.92°, β = 141.92°, γ = 54.95°
Element x y z (fractional)
Mn: 0.0000 0.0000 0.0000
Mn: 0.2500 0.7500 0.5000
Cd: 0.5000 0.5000 0.0000
Cl: 0.7500 0.2500 0.5000

Calculated values
Symmetry = I-4m2 (119)
Energy relative to the elements, uncorrected = 0.406 eV/atom
E_tot = -4.87 eV/atom



# 3
Computed, not measured: crystalline KFeP2 at its relaxed geometry at the PBE-GGA level of DFT.

a = 2.9031 Å, b = 2.9014 Å, c = 8.2242 Å
α = 69.39°, β = 90.00°, γ = 90.00°
Element x y z (fractional)
P: 0.0000 0.9199 0.0797
P: 0.0000 0.5801 0.4203
Fe: 0.5000 0.2500 0.2500
K: 0.5000 0.7500 0.7500

Calculated values
Formation energy = -0.091 eV per atom
Symmetry = P4/mmm (123)
E_tot = -5.19 eV/atom



# 4
Computed, not measured: crystalline RbCaCdMo2 at its relaxed geometry at the PBE-GGA level of DFT.

a = 4.8361 Å, b = 5.2532 Å, c = 4.8361 Å
α = 90.00°, β = 90.00°, γ = 90.00°
Element x y z (fractional)
Mo: 0.5000 0.0000 0.0000
Mo: 0.0000 0.0000 0.5000
Cd: 0.5000 0.5000 0.5000
Rb: 0.0000 0.0000 0.0000
Ca: 0.0000 0.5000 0.0000

Calculated values
Formation energy = 2.438 eV per atom
Symmetry = P4/mmm (123)
E_tot = -2.67 eV/atom



| no. | DOS(E_F) (states/eV/cell) |
| --- | --- |
| 1 | 5.435 |
| 2 | 2.690 |
| 3 | 1.099 |
| 4 | 7.502 |